# 1
This record from Alexandria describes an optimized crystal structure of Pu2IrCl. The functional is PBE-GGA.

a b c (Å): 3.988 3.988 7.740
angles (deg): 75.07 75.07 60.00
Site moments in Bohr magnetons follow the coordinates.
Fractional positions:
Cl  0.500  0.500  0.500  -0.03
Ir  0.000  0.000  0.000  -0.34
Pu  0.737  0.737  0.790  5.24
Pu  0.263  0.263  0.210  5.24

Output
* total magnetization: 10.62 μB/cell
* energy relative to the elements, uncorrected: -325 kJ/mol of formula units
* relative energy among the computed polymorphs: 0 meV per atom

# 2
This record from Alexandria describes an optimized crystal structure of MgTeAsC2. The functional is PBE-GGA.

a b c (Å): 4.205 5.305 4.205
angles (deg): 90.00 90.00 90.00
Site moments in Bohr magnetons follow the coordinates.
Fractional positions:
C  0.000  0.000  0.500  0.19
Mg  0.000  0.000  0.000  0.00
As  0.000  0.500  0.000  -0.04
C  0.500  0.000  0.000  0.19
Te  0.500  0.500  0.500  -0.04

Output
* total magnetization: 0.65 μB/cell
* energy relative to the elements, uncorrected: 1026 kJ/mol of formula units

# 3
This record from Alexandria describes an optimized crystal structure of PmGdCd. The functional is PBE-GGA.

a b c (Å): 3.709 3.709 6.989
angles (deg): 105.39 105.39 90.00
Site moments in Bohr magnetons follow the coordinates.
Fractional positions:
Pm  0.627  0.627  0.253  0.10
Cd  0.285  0.285  0.571  -0.02
Gd  0.938  0.938  0.876  7.24

Output
* total magnetization: 7.75 μB/cell
* relative energy among the computed polymorphs: 0 meV per atom
* DFT formation energy: -0.211 eV per atom

# 4
This record from Alexandria describes an optimized crystal structure of CaTl5Hg8. The functional is PBE-GGA.

a b c (Å): 7.503 7.503 8.916
angles (deg): 101.86 113.10 106.84
Fractional positions:
Tl  0.302  0.005  0.071
Hg  0.518  0.224  0.614
Hg  0.375  0.432  0.318
Hg  0.782  0.378  0.306
Hg  0.980  0.653  0.093
Ca  0.247  0.747  0.500
Hg  0.611  0.905  0.386
Tl  0.934  0.231  0.929
Tl  0.994  0.064  0.293
Hg  0.560  0.887  0.907
Hg  0.113  0.057  0.682
Hg  0.072  0.476  0.694
Tl  0.491  0.491  0.000
Tl  0.771  0.700  0.707

Output
* total magnetization: 0.00 μB/cell
* DFT formation energy: -0.067 eV per atom

# 5
This record from Alexandria describes an optimized crystal structure of BaLa3Sc. The functional is PBE-GGA.

a b c (Å): 5.904 5.904 5.904
angles (deg): 90.00 90.00 90.00
Fractional positions:
Ba  0.000  0.000  0.000
La  0.500  0.000  0.000
La  0.000  0.500  0.000
Sc  0.500  0.500  0.500
La  0.000  0.000  0.500

Output
* total magnetization: 0.00 μB/cell
* relative energy among the computed polymorphs: 499 meV per atom
* DFT formation energy: 0.894 eV per atom

# 6
This record from Alexandria describes an optimized crystal structure of RbSn6Au5. The functional is PBE-GGA.

a b c (Å): 7.268 7.017 8.418
angles (deg): 74.82 59.63 58.81
Fractional positions:
Sn  0.421  0.000  0.243
Sn  0.579  0.000  0.757
Au  0.000  0.000  0.500
Au  0.686  0.628  0.000
Au  0.617  0.767  0.500
Sn  0.849  0.408  0.280
Sn  0.257  0.592  0.280
Au  0.383  0.233  0.500
Au  0.314  0.372  0.000
Sn  0.743  0.408  0.720
Rb  0.000  0.000  0.000
Sn  0.151  0.592  0.720

Output
* total magnetization: 0.00 μB/cell
* DFT formation energy: -0.182 eV per atom

# 7
This record from Alexandria describes an optimized crystal structure of Sc4ZnCo. The functional is PBE-GGA.

a b c (Å): 5.589 5.589 5.589
angles (deg): 60.00 60.00 60.00
Site moments in Bohr magnetons follow the coordinates.
Fractional positions:
Sc  0.374  0.374  0.877  0.09
Co  0.000  0.000  0.000  1.62
Zn  0.750  0.750  0.750  0.01
Sc  0.877  0.374  0.374  0.09
Sc  0.374  0.374  0.374  0.09
Sc  0.374  0.877  0.374  0.09

Output
* total magnetization: 1.95 μB/cell
* relative energy among the computed polymorphs: 832 meV per atom
* DFT formation energy: 0.544 eV per atom

# 8
This record from Alexandria describes an optimized crystal structure of H5PdO4. The functional is PBE-GGA.

a b c (Å): 4.937 7.615 5.015
angles (deg): 90.00 90.00 90.00
Site moments in Bohr magnetons follow the coordinates.
Fractional positions:
H  0.717  0.356  0.651  0.00
Pd  0.248  0.500  0.500  0.76
O  0.401  0.811  0.000  0.11
H  0.283  0.856  0.151  0.00
H  0.283  0.144  0.151  0.00
H  0.283  0.144  0.849  0.00
H  0.717  0.644  0.349  0.00
H  0.717  0.356  0.349  0.00
H  0.997  0.000  0.500  0.00
H  0.003  0.500  0.000  0.00
O  0.599  0.311  0.500  0.11
Pd  0.752  0.000  0.000  0.76
O  0.401  0.189  0.000  0.11
O  0.955  0.500  0.765  0.14
O  0.045  0.000  0.735  0.14
H  0.717  0.644  0.651  0.00
O  0.599  0.689  0.500  0.11
O  0.045  0.000  0.265  0.14
H  0.283  0.856  0.849  0.00
O  0.955  0.500  0.235  0.14

Output
* total magnetization: 2.79 μB/cell
* uncorrected energy: -94.5 eV for the cell shown